Compound: Dy2PaTe4
Source: the Alexandria database
Functional: PBE
Structure: relaxed

Cell and atoms, written as POSCAR:
```
Dy2PaTe4
1.0
-3.349 -0.267 2.586
-0.525 -5.752 -4.749
7.899 -8.449 9.358
Dy Pa Te
4 2 8
direct
0.135 0.270 0.066
0.865 0.730 0.566
0.135 0.270 0.434
0.865 0.730 0.934
0.377 0.753 0.250
0.623 0.247 0.750
0.500 0.000 0.500
0.039 0.079 0.250
0.777 0.554 0.375
0.223 0.446 0.625
0.223 0.446 0.875
0.500 0.000 0.000
0.961 0.921 0.750
0.777 0.554 0.125
```

***

Compound: Dy2Pa3Te8
Source: the Alexandria database
Functional: PBE
Structure: relaxed

Cell and atoms, written as POSCAR:
```
Dy2Pa3Te8
1.0
-1.958 0.463 -6.926
0.822 -8.446 -0.797
-7.075 3.194 4.424
Dy Te Pa
2 8 3
direct
0.324 0.248 0.496
0.676 0.752 0.504
0.905 0.135 0.270
0.890 0.607 0.214
0.412 0.870 0.250
0.412 0.380 0.250
0.110 0.393 0.786
0.588 0.620 0.750
0.588 0.130 0.750
0.095 0.865 0.730
0.000 0.233 0.000
0.000 0.767 0.000
0.500 0.000 0.000
```

***

Compound: Dy3PaTe6
Source: the Alexandria database
Functional: PBE
Structure: relaxed

Cell and atoms, written as POSCAR:
```
Dy3PaTe6
1.0
-1.178 -5.305 -5.319
3.221 -6.713 5.982
-9.354 0.149 1.923
Pa Te Dy
2 12 6
direct
0.005 0.164 0.836
0.505 0.836 0.164
0.712 0.902 0.442
0.626 0.233 0.767
0.258 0.005 0.995
0.169 0.704 0.630
0.758 0.995 0.005
0.126 0.767 0.233
0.712 0.558 0.098
0.212 0.442 0.902
0.669 0.630 0.704
0.669 0.296 0.370
0.212 0.098 0.558
0.169 0.370 0.296
0.482 0.918 0.712
0.482 0.288 0.082
0.371 0.408 0.592
0.982 0.712 0.918
0.871 0.592 0.408
0.982 0.082 0.288
```

***

Compound: Dy2Pa2Te7
Source: the Alexandria database
Functional: PBE
Structure: relaxed

Output
* relative energy among the computed polymorphs: 0.000 eV/atom

Cell and atoms, written as POSCAR:
```
Dy2Pa2Te7
1.0
4.145 0.000 0.889
1.146 8.302 4.768
0.100 -0.043 9.641
Dy Te Pa
2 7 2
direct
0.739 0.858 0.664
0.261 0.336 0.142
0.609 0.493 0.290
0.180 0.711 0.928
0.820 0.072 0.289
0.138 0.143 0.581
0.391 0.710 0.507
0.500 0.011 0.989
0.862 0.419 0.857
0.500 0.326 0.674
0.000 0.775 0.225
```

***

Compound: DyPa2Te5
Source: the Alexandria database
Functional: PBE
Structure: relaxed

Output
* relative energy among the computed polymorphs: 0.000 eV/atom

Cell and atoms, written as POSCAR:
```
DyPa2Te5
1.0
-7.059 3.753 -0.996
-2.226 -5.605 -5.341
1.763 -3.061 8.554
Te Pa Dy
10 4 2
direct
0.313 0.813 0.298
0.813 0.985 0.298
0.500 0.500 0.000
0.985 0.485 0.298
0.187 0.015 0.702
0.687 0.187 0.702
0.015 0.515 0.702
0.515 0.687 0.702
0.000 0.000 0.000
0.485 0.313 0.298
0.639 0.139 0.000
0.861 0.639 0.000
0.139 0.361 0.000
0.361 0.861 0.000
0.250 0.250 0.500
0.750 0.750 0.500
```

***

Compound: DyPaTe3
Source: the Alexandria database
Functional: PBE
Structure: relaxed

Cell and atoms, written as POSCAR:
```
DyPaTe3
1.0
4.303 0.000 0.000
-2.151 3.726 0.000
0.000 0.000 22.305
Te Pa Dy
6 2 2
direct
0.000 0.000 0.211
0.000 0.000 0.711
0.667 0.333 0.543
0.333 0.667 0.043
0.333 0.667 0.374
0.667 0.333 0.874
0.000 0.000 0.962
0.000 0.000 0.462
0.333 0.667 0.785
0.667 0.333 0.285
```

***

Compound: DyPa3Tl3Te8
Source: the Alexandria database
Functional: PBE
Structure: relaxed

Cell and atoms, written as POSCAR:
```
DyPa3Tl3Te8
1.0
-2.449 7.935 2.499
-5.867 -6.356 -0.617
6.160 -0.512 7.669
Te Tl Pa Dy
8 3 3 1
direct
0.761 0.522 0.284
0.740 0.480 0.720
0.239 0.478 0.716
0.262 0.023 0.284
0.738 0.977 0.716
0.260 0.520 0.280
0.761 0.023 0.284
0.239 0.977 0.716
0.000 0.000 0.000
0.500 0.500 0.000
0.000 0.500 0.000
0.500 0.000 0.500
0.500 0.500 0.500
0.000 0.500 0.500
0.000 0.000 0.500
```

***

Compound: Dy2PaTl2Te6
Source: the Alexandria database
Functional: PBE
Structure: relaxed

Cell and atoms, written as POSCAR:
```
Dy2PaTl2Te6
1.0
-0.736 2.280 7.246
-3.005 -6.649 -2.236
8.337 -2.381 0.248
Pa Te Tl Dy
1 6 2 2
direct
0.000 0.000 0.500
0.927 0.597 0.286
0.073 0.403 0.714
0.403 0.073 0.714
0.262 0.262 0.287
0.738 0.738 0.713
0.597 0.927 0.286
0.834 0.166 0.000
0.166 0.834 0.000
0.332 0.668 0.500
0.668 0.332 0.500
```

***

Compound: DyThPa2
Source: the Alexandria database
Functional: PBE
Structure: relaxed

Output
* relative energy among the computed polymorphs: 0.012 eV/atom
* formation enthalpy at 0 K: 0.198 eV per atom

Cell and atoms, written as POSCAR:
```
DyThPa2
1.0
5.004 0.000 0.000
0.000 4.711 0.000
0.000 0.000 4.711
Pa Th Dy
2 1 1
direct
0.000 0.000 0.500
0.000 0.500 0.000
0.500 0.000 0.000
0.500 0.500 0.500
```

***

Compound: DyThPa4
Source: the Alexandria database
Functional: PBE
Structure: relaxed

Output
* formation enthalpy at 0 K: 0.163 eV per atom

Cell and atoms, written as POSCAR:
```
DyThPa4
1.0
-5.058 -3.450 -0.297
-0.572 -4.228 -4.402
0.266 -5.958 1.419
Pa Dy Th
4 1 1
direct
0.625 0.625 0.125
0.625 0.625 0.625
0.125 0.625 0.625
0.625 0.125 0.625
0.000 0.000 0.000
0.250 0.250 0.250
```

***

Compound: DyThPa
Source: the Alexandria database
Functional: PBE
Structure: relaxed

Output
* relative energy among the computed polymorphs: 0.000 eV/atom
* formation enthalpy at 0 K: 0.149 eV per atom

Cell and atoms, written as POSCAR:
```
DyThPa
1.0
-2.902 -1.325 1.130
0.886 -3.014 -1.258
4.415 0.390 6.725
Dy Pa Th
1 1 1
direct
0.994 0.994 0.988
0.332 0.332 0.665
0.674 0.674 0.348
```

***

Compound: DyThPa
Source: the Alexandria database
Functional: PBE
Structure: relaxed

Output
* relative energy among the computed polymorphs: 0.127 eV/atom
* formation enthalpy at 0 K: 0.276 eV per atom

Cell and atoms, written as POSCAR:
```
DyThPa
1.0
-0.190 2.245 2.475
-5.189 1.155 -1.445
1.016 -3.971 3.681
Th Dy Pa
1 1 1
direct
0.667 0.667 0.333
0.167 0.000 0.000
0.166 0.333 0.667
```

***

Compound: DyThPa2
Source: the Alexandria database
Functional: PBE
Structure: relaxed

Output
* relative energy among the computed polymorphs: 0.261 eV/atom
* formation enthalpy at 0 K: 0.447 eV per atom

Cell and atoms, written as POSCAR:
```
DyThPa2
1.0
5.420 0.000 0.000
2.710 4.694 0.000
2.710 1.565 4.426
Dy Pa Th
1 2 1
direct
0.000 0.000 0.000
0.750 0.750 0.751
0.250 0.250 0.249
0.500 0.500 0.500
```

***

Compound: DyThPa
Source: the Alexandria database
Functional: PBE
Structure: relaxed

Output
* relative energy among the computed polymorphs: 0.092 eV/atom
* formation enthalpy at 0 K: 0.241 eV per atom

Cell and atoms, written as POSCAR:
```
DyThPa
1.0
5.556 0.000 0.534
0.000 6.866 0.000
-0.904 0.000 9.353
Pa Th Dy
4 4 4
direct
0.999 0.500 0.643
0.501 0.000 0.857
0.499 0.000 0.143
0.001 0.500 0.357
0.000 0.745 0.000
0.500 0.245 0.500
0.000 0.255 0.000
0.500 0.755 0.500
0.499 0.500 0.827
0.501 0.500 0.173
0.999 0.000 0.328
0.001 0.000 0.672
```

***

Compound: DyThPa2
Source: the Alexandria database
Functional: PBE
Structure: relaxed

Output
* relative energy among the computed polymorphs: 0.000 eV/atom
* formation enthalpy at 0 K: 0.186 eV per atom

Cell and atoms, written as POSCAR:
```
DyThPa2
1.0
3.350 0.000 0.000
0.000 3.350 0.000
0.000 0.000 9.970
Pa Th Dy
2 1 1
direct
0.000 0.000 0.747
0.000 0.000 0.253
0.500 0.500 0.500
0.500 0.500 0.000
```

***

Compound: DyThZrPa
Source: the Alexandria database
Functional: PBE
Structure: relaxed

Output
* formation enthalpy at 0 K: 0.311 eV per atom

Cell and atoms, written as POSCAR:
```
DyThZrPa
1.0
-0.693 -2.775 -4.557
0.214 -5.376 0.064
-4.484 -2.880 -0.741
Pa Th Zr Dy
1 1 1 1
direct
0.500 0.500 0.500
0.750 0.750 0.750
0.250 0.250 0.250
0.000 0.000 0.000
```

***

Compound: DyPa2Ti
Source: the Alexandria database
Functional: PBE
Structure: relaxed

Output
* formation enthalpy at 0 K: 0.219 eV per atom

Cell and atoms, written as POSCAR:
```
DyPa2Ti
1.0
-1.175 -0.517 2.843
0.633 -3.041 -0.291
8.998 1.492 3.991
Ti Pa Dy
1 2 1
direct
0.500 0.500 0.000
0.000 0.000 0.226
0.000 0.000 0.774
0.500 0.500 0.500
```

***

Compound: DyPaTi
Source: the Alexandria database
Functional: PBE
Structure: relaxed

Output
* formation enthalpy at 0 K: 0.469 eV per atom

Cell and atoms, written as POSCAR:
```
DyPaTi
1.0
-1.047 4.468 -0.133
-4.121 -0.912 1.807
2.750 0.843 6.698
Pa Dy Ti
2 2 2
direct
0.500 0.000 0.694
0.000 0.500 0.306
0.500 0.000 0.165
0.000 0.500 0.835
0.000 0.000 0.500
0.500 0.500 0.500
```

***

Compound: DyPaTi2
Source: the Alexandria database
Functional: PBE
Structure: relaxed

Output
* formation enthalpy at 0 K: 0.105 eV per atom

Cell and atoms, written as POSCAR:
```
DyPaTi2
1.0
-3.508 -0.553 -0.751
0.809 -0.354 -3.521
0.882 -6.799 0.887
Pa Ti Dy
1 2 1
direct
0.500 0.500 0.000
0.000 0.000 0.199
0.000 0.000 0.801
0.500 0.500 0.500
```

***

Compound: Dy2PaTl
Source: the Alexandria database
Functional: PBE
Structure: relaxed

Output
* relative energy among the computed polymorphs: 0.000 eV/atom
* formation enthalpy at 0 K: -0.058 eV per atom

Cell and atoms, written as POSCAR:
```
Dy2PaTl
1.0
3.468 0.000 0.000
0.000 3.468 0.000
0.000 0.000 9.234
Tl Dy Pa
1 2 1
direct
0.500 0.500 0.000
0.000 0.000 0.244
0.000 0.000 0.756
0.500 0.500 0.500
```

***

Number 1: D(E_F) 8.2 states/eV/f.u., electronic total energy -5.548 eV/atom. Number 2: D(E_F) 12.8 states/eV/f.u., electronic total energy -5.757 eV/atom. Number 3: D(E_F) 7.1 states/eV/f.u., electronic total energy -5.295 eV/atom. Number 4: D(E_F) 7.4 states/eV/f.u., electronic total energy -5.617 eV/atom. Number 5: D(E_F) 7.8 states/eV/f.u., electronic total energy -5.833 eV/atom. Number 6: D(E_F) 6.4 states/eV/f.u., electronic total energy -5.706 eV/atom. Number 7: D(E_F) 20.9 states/eV/f.u., electronic total energy -5.115 eV/atom. Number 8: D(E_F) 3.4 states/eV/f.u., electronic total energy -4.829 eV/atom. Number 9: D(E_F) 8.9 states/eV/f.u., electronic total energy -7.555 eV/atom. Number 10: D(E_F) 13.3 states/eV/f.u., electronic total energy -8.171 eV/atom. Number 11: D(E_F) 5.6 states/eV/f.u., electronic total energy -7.024 eV/atom. Number 12: D(E_F) 6.7 states/eV/f.u., electronic total energy -6.897 eV/atom. Number 13: D(E_F) 10.1 states/eV/f.u., electronic total energy -7.306 eV/atom. Number 14: D(E_F) 6.4 states/eV/f.u., electronic total energy -6.932 eV/atom. Number 15: D(E_F) 7.5 states/eV/f.u., electronic total energy -7.567 eV/atom. Number 16: D(E_F) 10.2 states/eV/f.u., electronic total energy -7.206 eV/atom. Number 17: D(E_F) 9.3 states/eV/f.u., electronic total energy -7.653 eV/atom. Number 18: D(E_F) 5.3 states/eV/f.u., electronic total energy -6.862 eV/atom. Number 19: D(E_F) 6.0 states/eV/f.u., electronic total energy -7.367 eV/atom. Number 20: D(E_F) 4.7 states/eV/f.u., electronic total energy -5.325 eV/atom.